# PrGeS3

A geometry-optimized PrGeS3 structure (GGA-PBE, the Alexandria database).

Cell: 7.914 6.744 9.092 Å, 90.00 90.00 90.00°
Space group Pna2_1 (No. 33)
Inequivalent atoms, fractional coordinates:
Pr  0.124  0.072  0.000 [4 per cell]
Ge  0.204  0.617  0.118 [4 per cell]
S  0.079  0.302  0.508 [4 per cell]
S  0.163  0.833  0.698 [4 per cell]
S  0.172  0.822  0.319 [4 per cell]

Properties
magnetization: 0.000 μB/atom
crystal system: orthorhombic
calculated density: 4240 kg/m3
total DFT energy (no corrections): -107.971 eV/cell

# Li3OsW

A geometry-optimized Li3OsW structure (GGA-PBE, the Alexandria database).

Cell: 4.256 4.256 4.256 Å, 90.00 90.00 90.00°
Space group Pm-3m (No. 221)
Inequivalent atoms, fractional coordinates:
Li  0.000  0.000  0.500 [3 per cell]
Os  0.000  0.000  0.000 [1 per cell]
W  0.500  0.500  0.500 [1 per cell]

Properties
magnetization: 0.000 μB/atom
crystal system: cubic
calculated density: 8505 kg/m3
total DFT energy (no corrections): -20.434 eV/cell

# Mg2ZnN

A geometry-optimized Mg2ZnN structure (GGA-PBE, the Alexandria database).

Cell: 3.1856 3.1856 23.3425 Å, 90.00 90.00 120.00°
Space group R-3m (No. 166, hexagonal axes)
Inequivalent atoms, fractional coordinates:
Mg  0.0000  0.0000  0.1219 [6 per cell]
Zn  0.0000  0.0000  0.0000 [3 per cell]
N  0.0000  0.0000  0.5000 [3 per cell]

Properties
magnetization: 0.000 μB/atom
crystal system: trigonal
calculated density: 3109 kg/m3
total DFT energy (no corrections): -42.036 eV/cell

# ScBiS2

A geometry-optimized ScBiS2 structure (GGA-PBE, the Alexandria database).

Cell: 5.018 11.346 7.510 Å, 90.00 90.00 90.00°
Space group Pna2_1 (No. 33)
Inequivalent atoms, fractional coordinates:
Sc  0.000  0.113  0.000 [4 per cell]
Bi  0.001  0.338  0.391 [4 per cell]
S  0.000  0.067  0.687 [4 per cell]
S  0.000  0.343  0.039 [4 per cell]

Properties
magnetization: 0.000 μB/atom
crystal system: orthorhombic
calculated density: 4941 kg/m3
total DFT energy (no corrections): -91.181 eV/cell

# Sm2Ga3Rh4

A geometry-optimized Sm2Ga3Rh4 structure (GGA-PBE, the Alexandria database).

Cell: 5.686 15.194 7.406 Å, 90.00 90.00 90.00°
Space group Cmce (No. 64)
Inequivalent atoms, fractional coordinates:
Sm  0.000  0.108  0.083 [8 per cell]
Ga  0.000  0.000  0.500 [4 per cell]
Ga  0.250  0.228  0.750 [8 per cell]
Rh  0.000  0.179  0.479 [8 per cell]
Rh  0.250  0.062  0.750 [8 per cell]

Properties
magnetization: 0.000 μB/atom
crystal system: orthorhombic
calculated density: 9567 kg/m3
total DFT energy (no corrections): -221.766 eV/cell

# GeTePt

A geometry-optimized GeTePt structure (GGA-PBE, the Alexandria database).

Cell: 6.340 6.340 6.340 Å, 90.00 90.00 90.00°
Space group P2_13 (No. 198)
Inequivalent atoms, fractional coordinates:
Ge  0.122  0.122  0.122 [4 per cell]
Te  0.124  0.376  0.624 [4 per cell]
Pt  0.014  0.986  0.486 [4 per cell]

Properties
magnetization: 0.000 μB/atom
crystal system: cubic
calculated density: 10302 kg/m3
total DFT energy (no corrections): -60.735 eV/cell

# Dy2YHo6Th

A geometry-optimized Dy2YHo6Th structure (GGA-PBE, the Alexandria database).

Cell: 9.011 14.934 9.606 Å, 90.00 98.14 90.00°
Space group C2/c (No. 15)
Inequivalent atoms, fractional coordinates:
Dy  0.243  0.053  0.044 [8 per cell]
Y  0.000  0.021  0.750 [4 per cell]
Ho  0.065  0.190  0.441 [8 per cell]
Ho  0.102  0.397  0.620 [8 per cell]
Ho  0.199  0.226  0.814 [8 per cell]
Th  0.000  0.406  0.250 [4 per cell]

Properties
magnetization: 0.000 μB/atom
crystal system: monoclinic
calculated density: 8489 kg/m3
total DFT energy (no corrections): -196.439 eV/cell

# ReNiPb2

A geometry-optimized ReNiPb2 structure (GGA-PBE, the Alexandria database).

Cell: 3.412 5.444 8.562 Å, 90.00 90.00 90.00°
Space group Cmmm (No. 65)
Inequivalent atoms, fractional coordinates:
Re  0.000  0.000  0.000 [2 per cell]
Ni  0.000  0.000  0.500 [2 per cell]
Pb  0.000  0.500  0.262 [4 per cell]

Properties
magnetization: 0.000 μB/atom
crystal system: orthorhombic
calculated density: 13769 kg/m3
total DFT energy (no corrections): -43.945 eV/cell